# 1
VASP calculation (PBE-GGA) on a relaxed structure of SrMnCr3.

a b c (Å): 4.629 4.629 4.629
angles (deg): 90.00 90.00 90.00
Space group Pm-3m (No. 221)
One atom of each set of equivalent atoms:
Sr: 0.000 0.000 0.000 x1
Mn: 0.500 0.500 0.500 x1
Cr: 0.000 0.500 0.500 x3

Calculated values
The calculation puts the density of states at the Fermi level at 6.45 states/eV/f.u.


# 2
VASP calculation (PBE-GGA) on a relaxed structure of TaMnCr2.

a b c (Å): 2.975 4.242 8.302
angles (deg): 90.00 90.00 90.00
Space group Imm2 (No. 44)
One atom of each set of equivalent atoms:
Ta: 0.000 0.000 0.000 x2
Mn: 0.000 0.500 0.756 x2
Cr: 0.000 0.000 0.502 x2
Cr: 0.000 0.500 0.241 x2

Calculated values
The energy above the most stable polymorph in this dataset comes out at 58 meV per atom. The calculation puts the density of states at the Fermi level at 3.74 states/eV/f.u.


# 3
VASP calculation (PBE-GGA) on a relaxed structure of TaMnCr2.

a b c (Å): 6.653 6.653 5.043
angles (deg): 90.00 90.00 90.00
Space group I-42d (No. 122)
One atom of each set of equivalent atoms:
Ta: 0.000 0.000 0.000 x4
Mn: 0.000 0.000 0.500 x4
Cr: 0.210 0.250 0.625 x8

Calculated values
The energy above the most stable polymorph in this dataset comes out at 607 meV per atom. The calculation puts the density of states at the Fermi level at 4.81 states/eV/f.u.


# 4
VASP calculation (PBE-GGA) on a relaxed structure of TaMnCr2.

a b c (Å): 3.494 3.494 4.388
angles (deg): 90.00 90.00 90.00
Space group P4/mmm (No. 123)
One atom of each set of equivalent atoms:
Ta: 0.000 0.000 0.000 x1
Mn: 0.500 0.500 0.000 x1
Cr: 0.000 0.500 0.500 x2

Calculated values
The energy above the most stable polymorph in this dataset comes out at 219 meV per atom. The calculation puts the density of states at the Fermi level at 4.21 states/eV/f.u.


# 5
VASP calculation (PBE-GGA) on a relaxed structure of Ta6Mn5Cr.

a b c (Å): 4.341 13.022 6.129
angles (deg): 90.00 90.00 90.00
Space group Cmmm (No. 65)
One atom of each set of equivalent atoms:
Ta: 0.000 0.000 0.250 x4
Ta: 0.000 0.333 0.250 x8
Mn: 0.000 0.167 0.000 x4
Mn: 0.000 0.167 0.500 x4
Mn: 0.000 0.500 0.000 x2
Cr: 0.000 0.500 0.500 x2

Calculated values
The calculation puts the density of states at the Fermi level at 8.54 states/eV/f.u.


# 6
VASP calculation (PBE-GGA) on a relaxed structure of Ta2Mn2Cr.

a b c (Å): 5.843 5.843 4.214
angles (deg): 90.00 90.00 90.00
Space group P4/mbm (No. 127)
One atom of each set of equivalent atoms:
Ta: 0.185 0.315 0.000 x4
Mn: 0.136 0.636 0.500 x4
Cr: 0.000 0.000 0.500 x2

Calculated values
The calculation puts the density of states at the Fermi level at 4.95 states/eV/f.u.


E_form for every record listed, in sequence, given in eV/atom: 0.843; 0.058; 0.607; 0.219; -0.214; 0.068.
Volume for every record listed, in sequence, given in Å³/atom: 19.838; 13.095; 13.950; 13.395; 14.436; 14.389.